Density functional theory data (PBE with a Hubbard U) for an optimized crystal structure of Co2NiF6.

POSCAR file:
```
Co2NiF6
1.0
4.7329 0.0000 0.0000
0.0000 4.7329 0.0000
0.0000 0.0000 9.5431
Co Ni F
4 2 12
Cartesian
0.0000 0.0000 1.5891
0.0000 0.0000 7.9539
2.3665 2.3665 3.1824
2.3665 2.3665 6.3607
0.0000 0.0000 4.7715
2.3665 2.3665 0.0000
0.9236 0.9236 3.2025
0.9236 0.9236 6.3406
0.9341 0.9341 0.0000
1.4323 3.3006 4.7715
1.4428 3.2901 1.5691
1.4428 3.2901 7.9740
3.2901 1.4428 1.5691
3.2901 1.4428 7.9740
3.3006 1.4323 4.7715
3.7988 3.7988 0.0000
3.8093 3.8093 3.2025
3.8093 3.8093 6.3406
```

Results
V ... 214 Å³/cell
Size of the total moment ... 16.0 Bohr magnetons per cell
DFT total energy ... -4.81 eV per atom